Record 1
This record from Alexandria describes a geometry-optimized Sr3VRu structure. The functional is GGA-PBE.

Unit cell a=5.684 b=5.684 c=5.684 alpha=90.00 beta=90.00 gamma=90.00
Element x y z (fractional)
Sr1 0.000 0.000 0.500
Sr2 0.000 0.500 0.000
Sr3 0.500 0.000 0.000
V1 0.500 0.500 0.500
Ru1 0.000 0.000 0.000

Results
Excess energy over the best structure of this formula in the dataset: 0 meV per atom

Record 2
This record from Alexandria describes a geometry-optimized SrVRu2 structure. The functional is GGA-PBE.

Unit cell a=8.599 b=8.599 c=8.599 alpha=146.07 beta=146.07 gamma=48.74
Element x y z (fractional)
Sr1 0.375 0.625 0.750
Sr2 0.625 0.375 0.250
V1 0.125 0.875 0.250
V2 0.875 0.125 0.750
Ru1 0.000 0.000 0.000
Ru2 0.000 0.000 0.500
Ru3 0.000 0.500 0.000
Ru4 0.500 0.000 0.500

Results
Excess energy over the best structure of this formula in the dataset: 111 meV per atom

Record 3
This record from Alexandria describes a geometry-optimized SrVRu2 structure. The functional is GGA-PBE.

Unit cell a=4.601 b=4.601 c=4.601 alpha=60.00 beta=60.00 gamma=60.00
Element x y z (fractional)
Sr1 0.000 0.000 0.000
V1 0.500 0.500 0.500
Ru1 0.250 0.250 0.250
Ru2 0.750 0.750 0.750

Results
Excess energy over the best structure of this formula in the dataset: 0 meV per atom

Record 4
This record from Alexandria describes a geometry-optimized SrVRu3 structure. The functional is GGA-PBE.

Unit cell a=4.603 b=4.603 c=4.603 alpha=90.00 beta=90.00 gamma=90.00
Element x y z (fractional)
Sr1 0.000 0.000 0.000
V1 0.500 0.500 0.500
Ru1 0.000 0.500 0.500
Ru2 0.500 0.000 0.500
Ru3 0.500 0.500 0.000

Results
Excess energy over the best structure of this formula in the dataset: 0 meV per atom